Entry 1:
Computed, not measured: an optimized crystal structure of YEr2Cu2 at the PBE level of DFT.

Computed properties:
- Symmetry: No. 11
- Energy relative to the lowest polymorph listed for this composition: 0.000 eV per formula unit
- Formation energy from the elements: -0.184 eV per atom

abc: 3.477 5.045 13.034
angles: 90.00 97.66 90.00
Fractional coordinates of all 10 atoms:
Cu: 0.545 0.250 0.088
Cu: 0.455 0.750 0.912
Cu: 0.359 0.250 0.719
Cu: 0.641 0.750 0.281
Er: 0.770 0.250 0.541
Er: 0.047 0.750 0.093
Er: 0.953 0.250 0.907
Er: 0.230 0.750 0.459
Y: 0.858 0.750 0.717
Y: 0.142 0.250 0.283

---

Entry 2:
Computed, not measured: an optimized crystal structure of AlTlI2N at the PBE level of DFT.

Computed properties:
- Symmetry: No. 123
- Energy relative to the lowest polymorph listed for this composition: 0.000 eV per formula unit
- Formation energy from raw total energies: -92 meV/atom

abc: 6.284 6.284 3.522
angles: 90.00 90.00 90.00
Fractional coordinates of all 5 atoms:
N: 0.000 0.000 0.500
Tl: 0.500 0.500 0.500
I: 0.500 0.000 0.000
I: 0.000 0.500 0.000
Al: 0.000 0.000 0.000

---

Entry 3:
Computed, not measured: an optimized crystal structure of Pr8Er3Tm4 at the PBE level of DFT.

Computed properties:
- Symmetry: No. 12
- Formation energy from the elements: 0.336 eV per atom

abc: 6.893 9.221 9.221
angles: 82.98 110.61 110.61
Fractional coordinates of all 15 atoms:
Er: 0.500 0.500 0.000
Er: 0.500 0.500 0.500
Er: 0.500 0.000 0.500
Tm: 0.000 0.000 0.500
Tm: 0.500 0.000 0.000
Tm: 0.000 0.500 0.000
Tm: 0.000 0.000 0.000
Pr: 0.817 0.295 0.295
Pr: 0.500 0.245 0.755
Pr: 0.183 0.705 0.705
Pr: 0.000 0.294 0.706
Pr: 0.278 0.244 0.244
Pr: 0.722 0.756 0.756
Pr: 0.000 0.706 0.294
Pr: 0.500 0.755 0.245

---

no.,total magnetization (μB per cell),D(E_F) (states/eV/cell)
1,0.000,7.99
2,0.000,2.89
3,0.000,21.75